Here is crystalline Gd2NiPt at its relaxed geometry from OQMD. Energies are from PBE-GGA.

Results
- space-group type = Pmn2_1, No. 31
- distance to the lowest polymorph of the same formula (meV per atom) = 0
- theoretical density (g/cm³) = 10.86
- formation energy from the elements (eV/atom) = -0.8468

abc: 4.3889 7.1374 5.5460
angles: 90.00 90.00 90.00
Element x y z (fractional)
1 Gd 0.0000 0.0691 0.0000
2 Gd 0.0000 0.5704 0.2312
3 Gd 0.5000 0.4296 0.7312
4 Gd 0.5000 0.9309 0.5000
5 Ni 0.0000 0.2075 0.5074
6 Ni 0.5000 0.7925 0.0074
7 Pt 0.0000 0.7098 0.7289
8 Pt 0.5000 0.2902 0.2289